1.
PrNiSn | SCAN | single point on PBEsol structure

## Properties
As for the formation energy: -0.656 eV per atom. Its theoretical density is 8.458 g/cm3. The value obtained for the electronic total energy is -292.166 eV/cell.

a = 7.3438 Å, b = 7.3438 Å, c = 4.0141 Å
α = 90.00°, β = 90.00°, γ = 120.00°
Last column: nearest neighbours and their distance in Å.
Element x y z (fractional)
Pr: 0.0000 0.4139 0.0000  5 Ni 2.99-3.04, 6 Sn 3.19-3.32
Pr: 0.4139 0.0000 0.0000  5 Ni 2.99-3.04, 6 Sn 3.19-3.32
Pr: 0.5861 0.5861 0.0000  5 Ni 2.99-3.04, 6 Sn 3.19-3.32
Ni: 0.0000 0.0000 0.0000  6 Sn 2.71
Ni: 0.3333 0.6667 0.5000  3 Sn 2.81, 6 Pr 2.99
Ni: 0.6667 0.3333 0.5000  3 Sn 2.81, 6 Pr 2.99
Sn: 0.0000 0.7518 0.5000  4 Ni 2.71-2.81
Sn: 0.2482 0.2482 0.5000  4 Ni 2.71-2.81
Sn: 0.7518 0.0000 0.5000  4 Ni 2.71-2.81



2.
PrYNi4 | SCAN | single point on PBEsol structure

## Properties
As for the formation energy: -0.327 eV per atom. Its theoretical density is 8.477 g/cm3. The value obtained for the electronic total energy is -137.825 eV/cell.

a = 5.0489 Å, b = 5.0489 Å, c = 5.0489 Å
α = 60.00°, β = 60.00°, γ = 60.00°
Last column: nearest neighbours and their distance in Å.
Element x y z (fractional)
Pr: 0.0000 0.0000 0.0000  12 Ni 2.96, 4 Y 3.09
Y: 0.2500 0.2500 0.2500  12 Ni 2.96, 4 Pr 3.09
Ni: 0.1269 0.6244 0.6244  6 Ni 2.51-2.54
Ni: 0.6244 0.1269 0.6244  6 Ni 2.51-2.54
Ni: 0.6244 0.6244 0.1269  6 Ni 2.51-2.54
Ni: 0.6244 0.6244 0.6244  6 Ni 2.51-2.54



3.
PrZnNi | SCAN | single point on PBEsol structure

## Properties
As for the formation energy: -0.359 eV per atom. Its theoretical density is 7.910 g/cm3. The value obtained for the electronic total energy is -222.276 eV/cell.

a = 7.0842 Å, b = 7.0842 Å, c = 3.8401 Å
α = 90.00°, β = 90.00°, γ = 120.00°
Last column: nearest neighbours and their distance in Å.
Element x y z (fractional)
Pr: 0.0000 0.5862 0.0000  5 Ni 2.87-2.93, 6 Zn 3.16-3.19
Pr: 0.4138 0.4138 0.0000  5 Ni 2.87-2.93, 6 Zn 3.16-3.19
Pr: 0.5862 0.0000 0.0000  5 Ni 2.87-2.93, 6 Zn 3.16-3.19
Zn: 0.0000 0.2326 0.5000  4 Ni 2.53-2.79
Zn: 0.2326 0.0000 0.5000  4 Ni 2.53-2.79
Zn: 0.7674 0.7674 0.5000  4 Ni 2.53-2.79
Ni: 0.0000 0.0000 0.0000  6 Zn 2.53
Ni: 0.3333 0.6667 0.5000  3 Zn 2.79, 6 Pr 2.87
Ni: 0.6667 0.3333 0.5000  3 Zn 2.79, 6 Pr 2.87



4.
Ni4Pt | SCAN | single point on PBEsol structure

## Properties
As for the formation energy: -0.089 eV per atom. Its theoretical density is 12.550 g/cm3. The value obtained for the electronic total energy is -135.334 eV/cell.

a = 4.3721 Å, b = 4.3721 Å, c = 4.3721 Å
α = 99.60°, β = 99.60°, γ = 131.79°
Last column: nearest neighbours and their distance in Å.
Element x y z (fractional)
Ni: 0.0968 0.3047 0.4015  9 Ni 2.46-2.56, 3 Pt 2.53-2.54
Ni: 0.3047 0.9032 0.2079  9 Ni 2.46-2.56, 3 Pt 2.53-2.54
Ni: 0.6953 0.0968 0.7921  9 Ni 2.46-2.56, 3 Pt 2.53-2.54
Ni: 0.9032 0.6953 0.5985  9 Ni 2.46-2.56, 3 Pt 2.53-2.54
Pt: 0.5000 0.5000 0.0000  12 Ni 2.53-2.54



5.
Ni7Pt5 | SCAN | single point on PBEsol structure

## Properties
As for the formation energy: -0.144 eV per atom. Its theoretical density is 15.268 g/cm3. Its distance to the lowest polymorph of the same formula is 11.3 meV/atom. The value obtained for the electronic total energy is -465.905 eV/cell.

a = 4.5172 Å, b = 4.5172 Å, c = 7.8764 Å
α = 90.00°, β = 90.00°, γ = 110.26°
Last column: nearest neighbours and their distance in Å.
Element x y z (fractional)
Ni: 0.0000 0.0000 0.0000  6 Pt 2.58-2.62, 6 Ni 2.63-2.68
Ni: 0.0000 0.0000 0.3398  8 Ni 2.52-2.68, 4 Pt 2.58-2.63
Ni: 0.0000 0.0000 0.6602  8 Ni 2.52-2.68, 4 Pt 2.58-2.63
Ni: 0.0000 0.5000 0.5028  7 Ni 2.57-2.60, 5 Pt 2.58-2.62
Ni: 0.0000 0.5000 0.8292  5 Ni 2.57-2.63, 7 Pt 2.58-2.68
Ni: 0.5000 0.0000 0.1708  5 Ni 2.57-2.63, 7 Pt 2.58-2.68
Ni: 0.5000 0.0000 0.4972  7 Ni 2.57-2.60, 5 Pt 2.58-2.62
Pt: 0.0000 0.5000 0.1697  8 Ni 2.58-2.68, 4 Pt 2.62
Pt: 0.5000 0.0000 0.8303  8 Ni 2.58-2.68, 4 Pt 2.62
Pt: 0.5000 0.5000 0.0000  6 Ni 2.58-2.63, 6 Pt 2.62-2.66
Pt: 0.5000 0.5000 0.3376  4 Pt 2.56-2.66, 8 Ni 2.58-2.61
Pt: 0.5000 0.5000 0.6624  4 Pt 2.56-2.66, 8 Ni 2.58-2.61



6.
NiPt | SCAN | single point on PBEsol structure

## Properties
As for the formation energy: -0.049 eV per atom. Its theoretical density is 16.229 g/cm3. The value obtained for the electronic total energy is -345.857 eV/cell.

a = 6.4324 Å, b = 6.4324 Å, c = 2.6762 Å
α = 90.00°, β = 90.00°, γ = 110.28°
Last column: nearest neighbours and their distance in Å.
Element x y z (fractional)
Ni: 0.1176 0.8824 0.0000  7 Ni 2.48-2.68, 5 Pt 2.67-2.75
Ni: 0.2355 0.2355 0.5000  6 Ni 2.52-2.68, 6 Pt 2.64-2.69
Ni: 0.7645 0.7645 0.5000  6 Ni 2.52-2.68, 6 Pt 2.64-2.69
Ni: 0.8824 0.1176 0.0000  7 Ni 2.48-2.68, 5 Pt 2.67-2.75
Pt: 0.0000 0.5000 0.5000  6 Ni 2.64-2.67, 6 Pt 2.65-2.68
Pt: 0.3783 0.6217 0.0000  7 Pt 2.57-2.68, 5 Ni 2.69-2.75
Pt: 0.5000 0.0000 0.5000  6 Ni 2.64-2.67, 6 Pt 2.65-2.68
Pt: 0.6217 0.3783 0.0000  7 Pt 2.57-2.68, 5 Ni 2.69-2.75



7.
Ni4Pt5 | SCAN | single point on PBEsol structure

## Properties
As for the formation energy: -0.113 eV per atom. Its theoretical density is 16.951 g/cm3. Its distance to the lowest polymorph of the same formula is 18.1 meV/atom. The value obtained for the electronic total energy is -416.674 eV/cell.

a = 4.6008 Å, b = 4.6013 Å, c = 5.8932 Å
α = 75.13°, β = 83.18°, γ = 80.53°
Last column: nearest neighbours and their distance in Å.
Element x y z (fractional)
Ni: 0.0000 0.0000 0.0000  4 Ni 2.54-2.65, 8 Pt 2.62-2.77
Ni: 0.1091 0.5453 0.7891  6 Ni 2.57-2.71, 6 Pt 2.58-2.70
Ni: 0.2229 0.1137 0.5749  7 Pt 2.55-2.75, 5 Ni 2.55-2.70
Ni: 0.6799 0.3274 0.6813  5 Ni 2.54-2.71, 7 Pt 2.59-2.68
Pt: 0.3386 0.6575 0.3605  5 Ni 2.58-2.77, 7 Pt 2.64-2.76
Pt: 0.4463 0.2177 0.1117  5 Ni 2.59-2.75, 7 Pt 2.63-2.74
Pt: 0.5455 0.7781 0.8910  7 Ni 2.55-2.70, 5 Pt 2.59-2.76
Pt: 0.7890 0.8905 0.4646  6 Ni 2.59-2.74, 6 Pt 2.59-2.73
Pt: 0.8984 0.4432 0.2300  5 Ni 2.61-2.68, 7 Pt 2.65-2.71



8.
NiPt5 | SCAN | single point on PBEsol structure

## Properties
As for the formation energy: 0.040 eV per atom. Its theoretical density is 19.806 g/cm3. The value obtained for the electronic total energy is -366.901 eV/cell.

a = 4.6935 Å, b = 4.6935 Å, c = 4.5446 Å
α = 90.00°, β = 90.00°, γ = 120.00°
Last column: nearest neighbours and their distance in Å.
Element x y z (fractional)
Ni: 0.0000 0.0000 0.0000  12 Pt 2.71-2.75
Pt: 0.0000 0.3301 0.5000  10 Pt 2.68-2.76, 2 Ni 2.75
Pt: 0.3301 0.0000 0.5000  10 Pt 2.68-2.76, 2 Ni 2.75
Pt: 0.3333 0.6667 0.0000  3 Ni 2.71, 9 Pt 2.71-2.76
Pt: 0.6667 0.3333 0.0000  3 Ni 2.71, 9 Pt 2.71-2.76
Pt: 0.6699 0.6699 0.5000  10 Pt 2.68-2.76, 2 Ni 2.75



9.
Ni5Pt2 | SCAN | single point on PBEsol structure

## Properties
As for the formation energy: -0.103 eV per atom. Its theoretical density is 13.717 g/cm3. The value obtained for the electronic total energy is -221.972 eV/cell.

a = 4.4047 Å, b = 4.4047 Å, c = 5.7186 Å
α = 97.80°, β = 97.80°, γ = 48.97°
Last column: nearest neighbours and their distance in Å.
Element x y z (fractional)
Ni: 0.0000 0.0000 0.0000  6 Ni 2.54-2.61, 6 Pt 2.55-2.60
Ni: 0.1373 0.1373 0.4296  9 Ni 2.45-2.61, 3 Pt 2.51-2.54
Ni: 0.4278 0.4278 0.2965  8 Ni 2.44-2.61, 4 Pt 2.52-2.65
Ni: 0.5722 0.5722 0.7035  8 Ni 2.44-2.61, 4 Pt 2.52-2.65
Ni: 0.8627 0.8627 0.5704  9 Ni 2.45-2.61, 3 Pt 2.51-2.54
Pt: 0.2889 0.2889 0.8461  10 Ni 2.51-2.65, 2 Pt 2.67
Pt: 0.7111 0.7111 0.1539  10 Ni 2.51-2.65, 2 Pt 2.67



10.
NiPt | SCAN | single point on PBEsol structure

## Properties
As for the formation energy: -0.043 eV per atom. Its theoretical density is 16.167 g/cm3. The value obtained for the electronic total energy is -86.453 eV/cell.

a = 2.6754 Å, b = 2.6754 Å, c = 4.2048 Å
α = 90.00°, β = 90.00°, γ = 120.00°
Last column: nearest neighbours and their distance in Å.
Element x y z (fractional)
Ni: 0.0000 0.0000 0.0000  6 Pt 2.61, 6 Ni 2.68
Pt: 0.6667 0.3333 0.5000  6 Ni 2.61, 6 Pt 2.68